Entry 1:
# ErTiTcRu (PBE, relaxed)
# DFT formation energy ... -279 meV/atom
# Fermi-level density of states ... 1.02 states/eV per atom
# M_tot ... 0.000 μB/atom
data_ErTiTcRu
_chemical_formula_sum 'Er4 Ti4 Tc4 Ru4'
_space_group_name_H-M_alt 'F -4 3 m'
_space_group_IT_number 216
_space_group_name_Hall 'F -4 2 3'
_cell_length_a 6.460
_cell_length_b 6.460
_cell_length_c 6.460
_cell_angle_alpha 90.00
_cell_angle_beta 90.00
_cell_angle_gamma 90.00
loop_
_atom_site_label
_atom_site_fract_x
_atom_site_fract_y
_atom_site_fract_z
Er1 0.000 0.000 0.000
Ti1 0.000 0.000 0.500
Tc1 0.250 0.250 0.250
Ru1 0.250 0.250 0.750

***

Entry 2:
# ErUTcRu (PBE, relaxed)
# DFT formation energy ... -133 meV/atom
# Fermi-level density of states ... 2.32 states/eV per atom
# M_tot ... 0.340 μB/atom
data_ErUTcRu
_chemical_formula_sum 'Er4 U4 Tc4 Ru4'
_space_group_name_H-M_alt 'F -4 3 m'
_space_group_IT_number 216
_space_group_name_Hall 'F -4 2 3'
_cell_length_a 6.761
_cell_length_b 6.761
_cell_length_c 6.761
_cell_angle_alpha 90.00
_cell_angle_beta 90.00
_cell_angle_gamma 90.00
loop_
_atom_site_label
_atom_site_fract_x
_atom_site_fract_y
_atom_site_fract_z
Er1 0.000 0.000 0.000
U1 0.000 0.000 0.500
Tc1 0.250 0.250 0.250
Ru1 0.250 0.250 0.750

***

Entry 3:
# ErTcRuW (PBE, relaxed)
# DFT formation energy ... -91 meV/atom
# Fermi-level density of states ... 0.26 states/eV per atom
# M_tot ... 0.000 μB/atom
data_ErTcRuW
_chemical_formula_sum 'Er4 Tc4 Ru4 W4'
_space_group_name_H-M_alt 'F -4 3 m'
_space_group_IT_number 216
_space_group_name_Hall 'F -4 2 3'
_cell_length_a 6.452
_cell_length_b 6.452
_cell_length_c 6.452
_cell_angle_alpha 90.00
_cell_angle_beta 90.00
_cell_angle_gamma 90.00
loop_
_atom_site_label
_atom_site_fract_x
_atom_site_fract_y
_atom_site_fract_z
Er1 0.000 0.000 0.000
Tc1 0.250 0.250 0.750
Ru1 0.250 0.250 0.250
W1 0.000 0.000 0.500

***

Entry 4:
# Er5Te2Ru2 (PBE, relaxed)
# E_form (uncorrected) ... -0.822 eV/atom
# Fermi-level density of states ... 0.41 states/eV per atom
# M_tot ... 0.000 μB/atom
data_Er5Te2Ru2
_chemical_formula_sum 'Er20 Te8 Ru8'
_space_group_name_H-M_alt 'C m c e'
_space_group_IT_number 64
_space_group_name_Hall '-C 2ac 2'
_cell_length_a 15.643
_cell_length_b 7.689
_cell_length_c 7.644
_cell_angle_alpha 90.00
_cell_angle_beta 90.00
_cell_angle_gamma 90.00
loop_
_atom_site_label
_atom_site_fract_x
_atom_site_fract_y
_atom_site_fract_z
Er1 0.000 0.000 0.000
Er2 0.116 0.162 0.341
Te1 0.211 0.000 0.000
Ru1 0.000 0.136 0.634

***

Entry 5:
# Er2TeRu (PBE, relaxed)
# Energy above the lowest structure with this stoichiometry ... 85 meV/atom
# E_form (uncorrected) ... -0.639 eV/atom
# Fermi-level density of states ... 0.54 states/eV per atom
# M_tot ... 0.000 μB/atom
data_Er2TeRu
_chemical_formula_sum 'Er6 Te3 Ru3'
_space_group_name_H-M_alt 'R -3 m'
_space_group_IT_number 166
_space_group_name_Hall '-R 3 2"'
_cell_length_a 4.0441
_cell_length_b 4.0441
_cell_length_c 21.7625
_cell_angle_alpha 90.00
_cell_angle_beta 90.00
_cell_angle_gamma 120.00
loop_
_atom_site_label
_atom_site_fract_x
_atom_site_fract_y
_atom_site_fract_z
Er1 0.0000 0.0000 0.2370
Te1 0.0000 0.0000 0.0000
Ru1 0.0000 0.0000 0.5000

***

Entry 6:
# Er6Te3Ru (PBE, relaxed)
# E_form (uncorrected) ... -0.787 eV/atom
# Fermi-level density of states ... 0.74 states/eV per atom
# M_tot ... 0.000 μB/atom
data_Er6Te3Ru
_chemical_formula_sum 'Er12 Te6 Ru2'
_space_group_name_H-M_alt 'P 1 21/m 1'
_space_group_IT_number 11
_space_group_name_Hall '-P 2yb'
_cell_length_a 11.736
_cell_length_b 3.932
_cell_length_c 12.629
_cell_angle_alpha 90.00
_cell_angle_beta 104.65
_cell_angle_gamma 90.00
loop_
_atom_site_label
_atom_site_fract_x
_atom_site_fract_y
_atom_site_fract_z
Er1 0.012 0.250 0.349
Er2 0.078 0.250 0.888
Er3 0.278 0.750 0.320
Er4 0.294 0.750 0.761
Er5 0.407 0.250 0.560
Er6 0.446 0.750 0.146
Te1 0.128 0.250 0.145
Te2 0.169 0.750 0.515
Te3 0.342 0.250 0.954
Ru1 0.461 0.250 0.315

***

Which formula does entry 3 have? ErTcRuW